This record from Alexandria describes SbPd4Pt3 after structural relaxation. The functional is PBE-GGA.

The calculation puts the total magnetic moment at 0.0 μB per formula unit. As for the total energy: -5.40 eV per atom.

It has space group Immm (No. 71), with a = 2.903 Å, b = 8.334 Å, c = 11.194 Å, α = 90.00°, β = 90.00° and γ = 90.00°. Symmetry generates all atoms from Sb at (0.000, 0.000, 0.000), Pd at (0.000, 0.276, 0.128), Pt at (0.000, 0.000, 0.500) and Pt at (0.000, 0.500, 0.297).